Entry 1:
{
  "formula": "Cr4FeAg",
  "functional": "PBE",
  "state": "relaxed",
  "spacegroup": "F-43m, No. 216",
  "magmom_total_mub_per_atom": 0.208,
  "dft_energy_ev_per_cell": -47.31,
  "formation_enthalpy_0k_ev_per_fu": 2.5,
  "cell": [[0.000, 3.365, 3.365], [3.365, 0.000, 3.365], [3.365, 3.365, 0.000]],
  "species": ["Cr", "Cr", "Cr", "Cr", "Fe", "Ag"],
  "fractional_positions": [[0.124, 0.124, 0.124], [0.124, 0.124, 0.627], [0.124, 0.627, 0.124], [0.627, 0.124, 0.124], [0.500, 0.500, 0.500], [0.750, 0.750, 0.750]]
}

Entry 2:
{
  "formula": "CrFe3Ag",
  "functional": "PBE",
  "state": "relaxed",
  "spacegroup": "Pm-3m, No. 221",
  "magmom_total_mub_per_atom": 0.914,
  "dft_energy_ev_per_cell": -32.39,
  "formation_enthalpy_0k_ev_per_fu": 5.5,
  "cell": [[4.241, 0.000, 0.000], [0.000, 4.241, 0.000], [0.000, 0.000, 4.241]],
  "species": ["Cr", "Fe", "Fe", "Fe", "Ag"],
  "fractional_positions": [[0.000, 0.000, 0.000], [0.000, 0.000, 0.500], [0.000, 0.500, 0.000], [0.500, 0.000, 0.000], [0.500, 0.500, 0.500]]
}